(1)
Crystalline ScInCl2 at its relaxed geometry, computed with PBE-GGA.

a b c (Å): 5.3514 5.3514 3.3806
angles (deg): 90.00 90.00 105.76
Fractional positions:
Sc (0.0000, 0.0000, 0.0000)
In (0.5000, 0.5000, 0.0000)
Cl (0.0000, 0.5000, 0.5000)
Cl (0.5000, 0.0000, 0.5000)

Properties
As for the uncorrected formation energy: -0.65 eV/atom. For the magnetization, the calculation gives 0.0 μB per cell. Its density of states at the Fermi level is 0.555 states/eV/atom. For the offset from the most stable computed form, the calculation gives 620.9 meV per atom. Its total DFT energy (no corrections) is -3.840 eV per atom.


(2)
Crystalline Pm3NdEr2Tm6 at its relaxed geometry, computed with PBE-GGA.

a b c (Å): 6.1495 6.1495 11.6935
angles (deg): 95.02 95.02 119.98
Fractional positions:
Pm (0.0000, 0.0000, 0.0000)
Pm (0.3331, 0.6669, 0.0000)
Pm (0.6669, 0.3331, 0.0000)
Nd (0.5000, 0.5000, 0.5000)
Er (0.1667, 0.8333, 0.5000)
Er (0.8333, 0.1667, 0.5000)
Tm (0.0832, 0.4171, 0.2519)
Tm (0.2489, 0.2489, 0.7480)
Tm (0.4171, 0.0832, 0.2519)
Tm (0.5829, 0.9168, 0.7481)
Tm (0.7511, 0.7511, 0.2520)
Tm (0.9168, 0.5829, 0.7481)

Properties
For the magnetization, the calculation gives 0.0 μB per cell. Its density of states at the Fermi level is 1.246 states/eV/atom. Its total DFT energy (no corrections) is -4.560 eV per atom. The calculation puts the formation energy at 2.03 kJ per mole of atoms.


(3)
Crystalline YTl at its relaxed geometry, computed with PBE-GGA.

a b c (Å): 3.7994 3.7994 9.5786
angles (deg): 90.00 90.00 120.00
Fractional positions:
Y (0.0000, 0.0000, 0.0000)
Y (0.0000, 0.0000, 0.5000)
Tl (0.3333, 0.6667, 0.2500)
Tl (0.6667, 0.3333, 0.7500)

Properties
For the magnetization, the calculation gives 0.0 μB per cell. Its density of states at the Fermi level is 0.927 states/eV/atom. Its total DFT energy (no corrections) is -4.648 eV per atom. The calculation puts the formation energy at -22.47 kJ per mole of atoms.


(4)
Crystalline TbZrAl at its relaxed geometry, computed with PBE-GGA.

a b c (Å): 7.2003 7.2003 7.2003
angles (deg): 154.35 154.35 36.59
Fractional positions:
Tb (0.0000, 0.0000, 0.0000)
Zr (0.3052, 0.3052, 0.0000)
Al (0.6635, 0.6635, 0.0000)

Properties
For the magnetization, the calculation gives 0.0 μB per cell. Its density of states at the Fermi level is 1.105 states/eV/atom. For the offset from the most stable computed form, the calculation gives 43.5 meV per atom. Its total DFT energy (no corrections) is -5.842 eV per atom. The calculation puts the formation energy at -19.44 kJ per mole of atoms.


(5)
Crystalline Ac4AgSn2 at its relaxed geometry, computed with PBE-GGA.

a b c (Å): 9.8430 9.8430 9.8430
angles (deg): 146.48 146.48 48.13
Fractional positions:
Ac (0.0000, 0.5000, 0.5000)
Ac (0.1843, 0.1843, 0.0000)
Ac (0.5000, 0.0000, 0.5000)
Ac (0.8157, 0.8157, 0.0000)
Ag (0.0000, 0.0000, 0.0000)
Sn (0.3699, 0.3699, 0.0000)
Sn (0.6301, 0.6301, 0.0000)

Properties
For the magnetization, the calculation gives 0.0 μB per cell. Its density of states at the Fermi level is 0.826 states/eV/atom. For the offset from the most stable computed form, the calculation gives 294.7 meV per atom. Its total DFT energy (no corrections) is -4.081 eV per atom. The calculation puts the formation energy at -17.57 kJ per mole of atoms.


(6)
Crystalline RbAs4 at its relaxed geometry, computed with PBE-GGA.

a b c (Å): 5.4882 5.4882 5.4882
angles (deg): 90.00 90.00 90.00
Fractional positions:
Rb (0.0000, 0.0000, 0.0000)
As (0.0000, 0.0000, 0.5000)
As (0.0000, 0.5000, 0.0000)
As (0.5000, 0.0000, 0.0000)
As (0.5000, 0.5000, 0.5000)

Properties
For the magnetization, the calculation gives 0.0 μB per cell. Its density of states at the Fermi level is 1.057 states/eV/atom. Its total DFT energy (no corrections) is -1.944 eV per atom. The calculation puts the formation energy at 190.02 kJ per mole of atoms.


(7)
Crystalline Hf2ZrO at its relaxed geometry, computed with PBE-GGA.

a b c (Å): 2.9536 2.9536 7.8889
angles (deg): 90.00 90.00 90.00
Fractional positions:
Hf (0.0000, 0.0000, 0.1905)
Hf (0.0000, 0.0000, 0.8095)
Zr (0.5000, 0.5000, 0.5000)
O (0.5000, 0.5000, 0.0000)

Properties
As for the uncorrected formation energy: -0.70 eV/atom. For the magnetization, the calculation gives 0.0 μB per cell. Its density of states at the Fermi level is 1.021 states/eV/atom. Its total DFT energy (no corrections) is -9.054 eV per atom.


(8)
Crystalline Ba2MnCo at its relaxed geometry, computed with PBE-GGA.

a b c (Å): 5.5615 5.5615 5.5615
angles (deg): 60.00 60.00 60.00
Fractional positions:
Ba (0.2500, 0.2500, 0.2500)
Ba (0.7500, 0.7500, 0.7500)
Mn (0.0000, 0.0000, 0.0000)
Co (0.5000, 0.5000, 0.5000)

Properties
For the magnetization, the calculation gives 4.7 μB per cell. Its density of states at the Fermi level is 1.174 states/eV/atom. For the offset from the most stable computed form, the calculation gives 395.8 meV per atom. Its total DFT energy (no corrections) is -4.315 eV per atom. The calculation puts the formation energy at 68.98 kJ per mole of atoms.


total DFT energy (no corrections) of number 3 (YTl)?
-4.648 eV per atom


Which formula does entry 1 have?
ScInCl2